First-principles (PBE) data for Na3LaTl2O6 after structural relaxation, as listed in Alexandria.

Computed properties:
E   -124.65 eV per cell
Energy relative to the elements, uncorrected   -1.580 eV per atom

Unit cell a=5.994 b=10.424 c=6.024 alpha=90.00 beta=108.92 gamma=90.00
Space group C2/m (No. 12)
Unique sites:
Na 0.000 0.000 0.000 [2 per cell]
Na 0.000 0.323 0.000 [4 per cell]
La 0.000 0.500 0.500 [2 per cell]
Tl 0.000 0.166 0.500 [4 per cell]
O 0.230 0.000 0.730 [4 per cell]
O 0.247 0.328 0.726 [8 per cell]


First-principles (PBE) data for NaLa2TlO after structural relaxation, as listed in Alexandria.

Computed properties:
E   -24.84 eV per cell
Energy relative to the elements, uncorrected   -1.269 eV per atom
Density of states at the Fermi level   3.38 states/eV/cell

Unit cell a=5.033 b=5.033 c=4.889 alpha=90.00 beta=90.00 gamma=90.00
Space group P4/mmm (No. 123)
Unique sites:
Na 0.000 0.000 0.000 [1 per cell]
La 0.000 0.500 0.500 [2 per cell]
Tl 0.500 0.500 0.000 [1 per cell]
O 0.000 0.000 0.500 [1 per cell]


First-principles (PBE) data for Na2LaTlO4 after structural relaxation, as listed in Alexandria.

Computed properties:
E   -171.60 eV per cell
Energy relative to the elements, uncorrected   -1.642 eV per atom
Density of states at the Fermi level   5.87 states/eV/cell

Unit cell a=3.422 b=17.579 c=8.517 alpha=90.00 beta=90.00 gamma=90.00
Space group Cmcm (No. 63)
Unique sites:
Na 0.000 0.106 0.029 [8 per cell]
La 0.000 0.259 0.250 [4 per cell]
Tl 0.000 0.466 0.250 [4 per cell]
O 0.000 0.127 0.750 [4 per cell]
O 0.000 0.305 0.600 [8 per cell]
O 0.000 0.500 0.000 [4 per cell]


First-principles (PBE) data for Na2LaTmO4 after structural relaxation, as listed in Alexandria.

Computed properties:
E   -53.72 eV per cell
Energy relative to the elements, uncorrected   -2.731 eV per atom
Density of states at the Fermi level   0.00 states/eV/cell

Unit cell a=5.967 b=3.511 c=6.119 alpha=90.00 beta=110.23 gamma=90.00
Space group P2/m (No. 10)
Unique sites:
Na 0.000 0.000 0.000 [1 per cell]
Na 0.000 0.500 0.500 [1 per cell]
La 0.500 0.000 0.500 [1 per cell]
Tm 0.500 0.500 0.000 [1 per cell]
O 0.287 0.500 0.243 [2 per cell]
O 0.289 0.000 0.776 [2 per cell]


First-principles (PBE) data for Na2LaUO6 after structural relaxation, as listed in Alexandria.

Computed properties:
E   -149.34 eV per cell
Energy relative to the elements, uncorrected   -2.607 eV per atom
Density of states at the Fermi level   20.83 states/eV/cell

Unit cell a=5.914 b=6.072 c=10.317 alpha=90.00 beta=124.84 gamma=90.00
Space group P2_1/c (No. 14)
Unique sites:
Na 0.239 0.037 0.242 [4 per cell]
La 0.000 0.000 0.500 [2 per cell]
U 0.500 0.000 0.000 [2 per cell]
O 0.160 0.174 0.952 [4 per cell]
O 0.266 0.717 0.934 [4 per cell]
O 0.378 0.060 0.770 [4 per cell]


Number 1: total moment 0.0 μB/cell. Number 2: total moment 0.0 μB/cell. Number 3: total moment 2.8 μB/cell. Number 4: total moment 0.0 μB/cell. Number 5: total moment 1.6 μB/cell.